Tb6PmHo3: optimized geometry, GGA-PBE.

Energy relative to the elements = 0.15 eV/atom
ρ = 8.2 g cm⁻³
Total magnetic moment = 0.0 μB/cell
Space group = Cmc2_1, No. 36
Excess energy over the best structure of this formula in the dataset = 25 meV per atom

a = 10.982 Å, b = 10.982 Å, c = 6.193 Å
α = 90.00°, β = 90.00°, γ = 119.74°
Sites, in units of the cell vectors:
Tb 0.044 0.464 0.046
Tb 0.045 0.955 0.500
Tb 0.282 0.718 0.771
Tb 0.290 0.380 0.877
Tb 0.380 0.290 0.377
Tb 0.464 0.044 0.546
Tb 0.536 0.956 0.046
Tb 0.620 0.710 0.877
Tb 0.710 0.620 0.377
Tb 0.718 0.282 0.271
Tb 0.955 0.045 0.000
Tb 0.956 0.536 0.546
Pm 0.205 0.795 0.271
Pm 0.795 0.205 0.771
Ho 0.062 0.282 0.454
Ho 0.282 0.062 0.954
Ho 0.389 0.611 0.340
Ho 0.611 0.389 0.840
Ho 0.718 0.938 0.454
Ho 0.938 0.718 0.954